PdS2: optimized geometry, PBE.

POSCAR file:
```
PdS2
1.0
1.783 -3.082 0.000
1.783 3.082 0.000
0.000 0.000 11.618
Pd S
2 4
Cartesian
0.000 0.000 0.000
1.783 0.000 5.809
1.783 2.056 7.051
1.783 1.026 1.242
1.783 -1.026 10.376
1.783 -2.056 4.567
```

The value obtained for the total energy is -13.89 eV/f.u. The formation energy without anion corrections comes out at -0.4 eV/f.u. The spin magnetization is 0.000 μB per formula unit.

***

ErTmScTl: optimized geometry, PBE.

POSCAR file:
```
ErTmScTl
1.0
0.000 3.761 3.761
3.761 0.000 3.761
3.761 3.761 0.000
Er Tm Sc Tl
1 1 1 1
Cartesian
0.000 0.000 0.000
3.761 3.761 3.761
5.642 5.642 5.642
1.881 1.881 1.881
```

The value obtained for the total energy is -17.87 eV/f.u. The energy relative to the elements comes out at -0.034 eV per atom. The calculation puts the energy relative to the lowest polymorph listed for this composition at 0.52 eV/f.u. The spin magnetization is 1.290 μB per formula unit.

***

Na2TbPuO6: optimized geometry, PBE.

POSCAR file:
```
Na2TbPuO6
1.0
2.908 1.679 4.891
-2.908 1.679 4.891
0.000 -3.358 4.891
Na Tb Pu O
2 1 1 6
Cartesian
0.000 0.000 0.000
0.000 0.000 7.328
0.000 0.000 3.425
0.000 0.000 10.725
-1.262 -2.008 6.957
-1.605 0.292 9.533
-1.108 2.097 6.957
0.549 -1.536 9.533
2.370 -0.089 6.957
1.056 1.244 9.534
```

The value obtained for the total energy is -76.46 eV/f.u. The formation energy without anion corrections comes out at -25.1 eV/f.u. The spin magnetization is 1.000 μB per formula unit.

***

ReF3: optimized geometry, PBE.

POSCAR file:
```
ReF3
1.0
1.377 0.795 8.521
-1.377 0.795 8.521
0.000 -1.590 8.521
Re F
1 3
Cartesian
0.000 0.000 0.000
0.000 0.000 1.855
0.000 0.000 12.781
0.000 0.000 23.708
```

The value obtained for the total energy is -20.86 eV/f.u. The calculation puts the energy relative to the lowest polymorph listed for this composition at 0.00 eV/f.u. The formation energy without anion corrections comes out at -2.8 eV/f.u. The spin magnetization is 0.000 μB per formula unit.

***

ZnIn2Co2: optimized geometry, PBE.

POSCAR file:
```
ZnIn2Co2
1.0
6.313 0.000 0.000
0.000 6.313 0.000
0.000 0.000 3.976
Zn In Co
2 4 4
Cartesian
0.000 0.000 0.000
3.157 3.157 0.000
1.057 2.099 1.988
2.099 5.256 1.988
4.214 1.057 1.988
5.256 4.214 1.988
0.860 4.017 0.000
2.297 0.860 0.000
4.017 5.453 0.000
5.453 2.297 0.000
```

The value obtained for the total energy is -20.67 eV/f.u. The energy relative to the elements comes out at 0.058 eV per atom. The spin magnetization is 0.000 μB per formula unit.

***

ZrSiAu: optimized geometry, PBE.

POSCAR file:
```
ZrSiAu
1.0
0.000 2.398 5.488
2.056 0.000 5.488
2.056 2.398 0.000
Zr Si Au
1 1 1
Cartesian
0.000 0.000 0.000
2.056 2.398 7.277
2.056 2.398 3.375
```

The value obtained for the total energy is -18.22 eV/f.u. The formation energy without anion corrections comes out at -1.0 eV/f.u. The spin magnetization is 0.000 μB per formula unit.

***

KRb2NaHg2: optimized geometry, PBE.

POSCAR file:
```
KRb2NaHg2
1.0
5.446 0.000 0.000
0.000 10.778 0.000
0.000 0.000 9.309
K Rb Na Hg
2 4 2 4
Cartesian
0.000 0.696 0.000
0.000 10.081 4.655
0.000 3.430 3.553
0.000 7.348 8.208
2.723 4.394 0.437
2.723 6.384 5.092
2.723 1.970 6.272
2.723 8.808 1.617
0.000 3.716 7.152
0.000 7.061 2.497
2.723 1.090 2.761
2.723 9.688 7.416
```

The value obtained for the total energy is -5.91 eV/f.u. The energy relative to the elements comes out at -0.158 eV per atom. The spin magnetization is 0.000 μB per formula unit.

***

KTl2CdPd: optimized geometry, PBE.

POSCAR file:
```
KTl2CdPd
1.0
5.397 0.000 0.000
0.000 5.397 0.000
0.000 0.000 5.388
K Tl Cd Pd
1 2 1 1
Cartesian
0.000 0.000 0.000
0.000 2.698 2.694
2.698 0.000 2.694
2.698 2.698 0.000
2.698 2.698 2.694
```

The value obtained for the total energy is -12.53 eV/f.u. The energy relative to the elements comes out at -0.118 eV per atom. The calculation puts the energy relative to the lowest polymorph listed for this composition at 0.00 eV/f.u. The spin magnetization is 0.000 μB per formula unit.